Material: HoTc3B3
Method: DFT, GGA-PBE
State: relaxed

Lattice parameters (Å, degrees): 8.0371 8.0371 3.1095 90.00 90.00 120.00
Last column: nearest neighbours and their distance in Å.
Fractional coordinates of all 14 atoms:
Ho (0.3333, 0.6667, 0.2500)  9 B 2.61-2.62
Ho (0.6667, 0.3333, 0.7500)  9 B 2.61-2.62
Tc (0.0692, 0.3083, 0.7500)  3 B 2.23-2.24
Tc (0.2391, 0.9308, 0.7500)  3 B 2.23-2.24
Tc (0.3083, 0.2391, 0.2500)  3 B 2.23-2.24
Tc (0.6917, 0.7609, 0.7500)  3 B 2.23-2.24
Tc (0.7609, 0.0692, 0.2500)  3 B 2.23-2.24
Tc (0.9308, 0.6917, 0.2500)  3 B 2.23-2.24
B (0.0389, 0.5708, 0.7500)  2 B 1.84
B (0.4292, 0.4682, 0.7500)  2 B 1.84
B (0.4682, 0.0389, 0.2500)  2 B 1.84
B (0.5318, 0.9611, 0.7500)  2 B 1.84
B (0.5708, 0.5318, 0.2500)  2 B 1.84
B (0.9611, 0.4292, 0.2500)  2 B 1.84

## Properties
The calculated volume is 174.0 Å³ per cell. As for the space group: P6_3/m, No. 176. The value obtained for the energy of formation from the pure elements is -350 meV/atom. For the uncorrected energy, the calculation gives -0.6107 Ry per atom. As for the total magnetic moment: 0.000 μB per formula unit.

***

Material: HoTc6B4
Method: DFT, GGA-PBE
State: relaxed

Lattice parameters (Å, degrees): 5.7789 5.7789 5.7789 121.31 121.31 87.74
Last column: nearest neighbours and their distance in Å.
Fractional coordinates of all 11 atoms:
Ho (0.0000, 0.0000, 0.0000)  12 Tc 2.79-3.07, 4 B 2.94
Tc (0.0000, 0.5000, 0.5000)  4 B 2.25
Tc (0.0841, 0.4713, 0.0000)  4 B 2.24-2.41
Tc (0.4713, 0.0841, 0.0000)  4 B 2.24-2.41
Tc (0.5000, 0.0000, 0.5000)  4 B 2.25
Tc (0.5287, 0.5287, 0.6127)  4 B 2.24-2.41
Tc (0.9159, 0.9159, 0.3873)  4 B 2.24-2.41
B (0.2981, 0.2981, 0.7213)  2 B 1.89
B (0.4232, 0.7019, 0.0000)  2 B 1.89
B (0.5768, 0.5768, 0.2787)  2 B 1.89
B (0.7019, 0.4232, 0.0000)  2 B 1.89

## Properties
The calculated volume is 133.6 Å³ per cell. As for the space group: I-42m, No. 121. The value obtained for the energy of formation from the pure elements is -166 meV/atom. For the uncorrected energy, the calculation gives -0.6368 Ry per atom. As for the total magnetic moment: 0.000 μB per formula unit.

***

Material: HoTcB
Method: DFT, GGA-PBE
State: relaxed

Lattice parameters (Å, degrees): 3.7269 3.7269 4.0907 90.00 90.00 120.00
Last column: nearest neighbours and their distance in Å.
Fractional coordinates of all 3 atoms:
Ho (0.0000, 0.0000, 0.0000)  6 Tc 2.97, 6 B 2.97
Tc (0.6667, 0.3333, 0.5000)  3 B 2.15
B (0.3333, 0.6667, 0.5000)  3 Tc 2.15

## Properties
The calculated volume is 49.2 Å³ per cell. As for the space group: P-6m2, No. 187. The value obtained for the energy of formation from the pure elements is -229 meV/atom. For the uncorrected energy, the calculation gives -0.5465 Ry per atom. For the offset from the most stable computed form, the calculation gives 0.151 eV/atom. As for the total magnetic moment: 0.000 μB per formula unit.

***

Material: HoTcB
Method: DFT, GGA-PBE
State: relaxed

Lattice parameters (Å, degrees): 4.2461 4.2576 5.3627 90.00 90.00 90.00
Last column: nearest neighbours and their distance in Å.
Fractional coordinates of all 6 atoms:
Ho (0.2500, 0.2500, 0.1204)  2 B 2.61-2.75, 2 Tc 2.86
Ho (0.7500, 0.7500, 0.8796)  2 B 2.61-2.75, 2 Tc 2.86
Tc (0.2500, 0.7500, 0.5215)  4 B 2.18-2.23
Tc (0.7500, 0.2500, 0.4785)  4 B 2.18-2.23
B (0.2500, 0.2500, 0.6074)  4 Tc 2.18-2.23
B (0.7500, 0.7500, 0.3926)  4 Tc 2.18-2.23

## Properties
The calculated volume is 96.9 Å³ per cell. As for the space group: Pmmn, No. 59. The value obtained for the energy of formation from the pure elements is -240 meV/atom. For the uncorrected energy, the calculation gives -0.5473 Ry per atom. For the offset from the most stable computed form, the calculation gives 0.140 eV/atom. As for the total magnetic moment: 0.000 μB per formula unit.

***

Material: HoTcB
Method: DFT, GGA-PBE
State: relaxed

Lattice parameters (Å, degrees): 4.4810 3.1981 6.7854 90.00 98.69 90.00
Last column: nearest neighbours and their distance in Å.
Fractional coordinates of all 6 atoms:
Ho (0.2120, 0.2500, 0.3357)  3 B 2.63-2.67
Ho (0.7880, 0.7500, 0.6643)  3 B 2.63-2.67
Tc (0.3372, 0.2500, 0.8710)  4 B 2.21-2.42
Tc (0.6628, 0.7500, 0.1290)  4 B 2.21-2.42
B (0.1210, 0.7500, 0.0248)  2 B 1.93
B (0.8790, 0.2500, 0.9752)  2 B 1.93

## Properties
The calculated volume is 96.1 Å³ per cell. As for the space group: P2_1/m, No. 11. The value obtained for the energy of formation from the pure elements is -380 meV/atom. For the uncorrected energy, the calculation gives -0.5576 Ry per atom. For the offset from the most stable computed form, the calculation gives 0.000 eV/atom. As for the total magnetic moment: 0.000 μB per formula unit.

***

Material: Ho3Tc2B9
Method: DFT, GGA-PBE
State: relaxed

Lattice parameters (Å, degrees): 7.9419 7.9419 7.9419 157.19 120.33 64.73
Last column: nearest neighbours and their distance in Å.
Fractional coordinates of all 14 atoms:
Ho (0.0000, 0.0000, 0.0000)  12 B 2.63-2.80
Ho (0.2700, 0.2700, 0.0000)  12 B 2.74-2.86
Ho (0.7300, 0.7300, 0.0000)  12 B 2.74-2.86
Tc (0.3208, 0.5000, 0.8208)  4 B 2.11-2.18
Tc (0.6792, 0.5000, 0.1792)  4 B 2.11-2.18
B (0.0379, 0.3619, 0.6760)  2 B 1.69
B (0.1230, 0.8714, 0.2516)  2 B 1.69
B (0.3141, 0.6381, 0.6760)  2 B 1.69
B (0.3803, 0.1286, 0.2516)  2 B 1.69
B (0.5000, 0.0000, 0.5000)  4 Tc 2.11
B (0.6197, 0.8714, 0.7484)  2 B 1.69
B (0.6859, 0.3619, 0.3240)  2 B 1.69
B (0.8770, 0.1286, 0.7484)  2 B 1.69
B (0.9621, 0.6381, 0.3240)  2 B 1.69

## Properties
The calculated volume is 166.5 Å³ per cell. As for the space group: Immm, No. 71. The value obtained for the energy of formation from the pure elements is -276 meV/atom. For the uncorrected energy, the calculation gives -0.5167 Ry per atom. As for the total magnetic moment: 0.000 μB per formula unit.

***

Material: Ho5BTe2
Method: DFT, GGA-PBE
State: relaxed

Lattice parameters (Å, degrees): 6.5012 6.5012 14.0489 90.00 90.00 128.35
Last column: nearest neighbours and their distance in Å.
Fractional coordinates of all 16 atoms:
Ho (0.0630, 0.9370, 0.6325)  1 B 2.48
Ho (0.0630, 0.9370, 0.8675)  1 B 2.48
Ho (0.3012, 0.6988, 0.2500)  2 B 2.84, 2 Te 3.03
Ho (0.3723, 0.6277, 0.6282)  1 B 2.46
Ho (0.3723, 0.6277, 0.8718)  1 B 2.46
Ho (0.6277, 0.3723, 0.1282)  1 B 2.46
Ho (0.6277, 0.3723, 0.3718)  1 B 2.46
Ho (0.6988, 0.3012, 0.7500)  2 B 2.84, 2 Te 3.03
Ho (0.9370, 0.0630, 0.1325)  1 B 2.48
Ho (0.9370, 0.0630, 0.3675)  1 B 2.48
B (0.2211, 0.7789, 0.7500)  4 Ho 2.46-2.48
B (0.7789, 0.2211, 0.2500)  4 Ho 2.46-2.48
Te (0.1870, 0.8130, 0.0564)  6 Ho 3.02-3.38
Te (0.1870, 0.8130, 0.4436)  6 Ho 3.02-3.38
Te (0.8130, 0.1870, 0.5564)  6 Ho 3.02-3.38
Te (0.8130, 0.1870, 0.9436)  6 Ho 3.02-3.38

## Properties
The formation energy from raw total energies comes out at -4.2 eV/f.u. The calculated volume is 465.6 Å³ per cell. As for the space group: Cmcm, No. 63. For the uncorrected energy, the calculation gives -0.3678 Ry per atom. As for the total magnetic moment: 0.000 μB per formula unit.

***

Material: HoBTe
Method: DFT, GGA-PBE
State: relaxed

Lattice parameters (Å, degrees): 12.8818 12.8818 12.8818 15.20 15.20 15.20
Last column: nearest neighbours and their distance in Å.
Fractional coordinates of all 6 atoms:
Ho (0.0476, 0.0476, 0.0476)  6 B 2.67-2.69
Ho (0.9524, 0.9524, 0.9524)  6 B 2.67-2.69
B (0.3338, 0.3338, 0.3338)  3 B 1.97
B (0.6662, 0.6662, 0.6662)  3 B 1.97
Te (0.2209, 0.2209, 0.2209)  3 Ho 3.16, 6 Te 3.41
Te (0.7791, 0.7791, 0.7791)  3 Ho 3.16, 6 Te 3.41

## Properties
The formation energy from raw total energies comes out at -1.8 eV/f.u. The calculated volume is 128.0 Å³ per cell. As for the space group: R-3m, No. 166. For the uncorrected energy, the calculation gives -0.3973 Ry per atom. As for the total magnetic moment: 0.000 μB per formula unit.